First-principles (GGA+U) data for a relaxed RbPaCoO4 crystal, as listed in Alexandria.

a = 7.2778 Å, b = 7.2778 Å, c = 7.2778 Å
α = 129.79°, β = 121.65°, γ = 80.53°
Element x y z (fractional)
Rb (0.4287, 0.1787, 0.2500)
Rb (0.5713, 0.8213, 0.7500)
Pa (0.0000, 0.5000, 0.5000)
Pa (0.5000, 0.5000, 0.0000)
Co (0.0000, 0.0000, 0.5000)
Co (0.0000, 0.5000, 0.0000)
O (0.1292, 0.6958, 0.4334)
O (0.2376, 0.3042, 0.9334)
O (0.2612, 0.3031, 0.5419)
O (0.2612, 0.7193, 0.9581)
O (0.7388, 0.2807, 0.0419)
O (0.7388, 0.6969, 0.4581)
O (0.7624, 0.6958, 0.0666)
O (0.8708, 0.3042, 0.5666)

Properties
For the spin magnetization, the calculation gives 3.0 μB per formula unit. For the final energy, the calculation gives -7.3603 eV per atom. As for the symmetry: Imma (74).